(1)
{
  "formula": "AlSbHI2",
  "functional": "PBE",
  "state": "relaxed",
  "cell": [[5.786, 0.000, 0.000], [0.000, 5.786, 0.000], [0.000, 0.000, 3.947]],
  "species": ["I", "I", "Sb", "H", "Al"],
  "fractional_positions": [[0.500, 0.000, 0.000], [0.000, 0.500, 0.000], [0.000, 0.000, 0.500], [0.000, 0.000, 0.000], [0.500, 0.500, 0.500]],
  "n_ef_per_ev_atom": 0.4619,
  "space_group": "P4/mmm (123)",
  "total_magnetization_mub_per_fu": 0.0,
  "total_energy_ev_per_atom": -2.518,
  "rho_g_cm3": 5.1
}



(2)
{
  "formula": "MgSb2Pt",
  "functional": "PBE",
  "state": "relaxed",
  "cell": [[-8.201, 3.447, 1.182], [-2.211, -2.394, -8.361], [-6.025, -1.717, -2.731]],
  "species": ["Mg", "Sb", "Sb", "Pt", "Mg", "Sb", "Pt", "Sb"],
  "fractional_positions": [[0.500, 0.500, 0.000], [0.024, 0.625, 0.250], [0.875, 0.976, 0.750], [0.000, 0.000, 0.000], [0.250, 0.750, 0.500], [0.726, 0.125, 0.250], [0.750, 0.250, 0.500], [0.375, 0.274, 0.750]],
  "n_ef_per_ev_atom": 0.1435,
  "space_group": "I-42d (122)",
  "total_magnetization_mub_per_fu": 0.0,
  "total_energy_ev_per_atom": -4.304,
  "rho_g_cm3": 7.5
}



(3)
{
  "formula": "TaAgPd2",
  "functional": "PBE",
  "state": "relaxed",
  "cell": [[-1.617, -2.264, -0.832], [0.709, -1.404, 2.441], [-6.245, 3.131, 3.616]],
  "species": ["Pd", "Ag", "Ta", "Pd"],
  "fractional_positions": [[0.000, 0.000, 0.740], [0.500, 0.500, 0.000], [0.500, 0.500, 0.500], [0.000, 0.000, 0.260]],
  "n_ef_per_ev_atom": 0.7510,
  "space_group": "P4/mmm (123)",
  "total_magnetization_mub_per_fu": 0.0,
  "total_energy_ev_per_atom": -6.523,
  "rho_g_cm3": 12.6,
  "formation_enthalpy_0k_mev_per_atom": -251
}